The following is a DFT calculation (PBE with a Hubbard U) of a relaxed HfCr3F crystal.

Properties
Its theoretical density is 4.19 g/cm³. Its total energy is -26.6 eV for the cell shown. The calculation puts the magnetic moment at 12.7 μB per formula unit. The calculation puts the relative energy among the computed polymorphs at 1.297 eV/atom.

```
5
Lattice="5.1944 0.0000 0.0000 0.0000 5.1944 0.0000 0.0000 0.0000 5.1944" Properties=species:S:1:pos:R:3 pbc="T T T"
Cr 0.0000 0.0000 2.5972
Cr 2.5972 0.0000 0.0000
Hf 0.0000 0.0000 0.0000
Cr 0.0000 2.5972 0.0000
F 2.5972 2.5972 2.5972
```